Record 1
A plane-wave DFT calculation with PBE-GGA was carried out for a geometry-optimized ScCrMo2 structure.

Cell: 4.509 4.509 4.509 Å, 60.00 60.00 60.00°
Each line ends with the local moment (μB).
Sites, in units of the cell vectors:
1 Cr 0.500 0.500 0.500  2.26
2 Mo 0.000 0.000 0.000  0.35
3 Mo 0.250 0.250 0.250  -0.52
4 Sc 0.750 0.750 0.750  0.16

Properties
V (Å³/cell): 65
Magnetic moment (μB per formula unit): 2.5
Energy of formation (eV/atom): 0.172
Final energy (eV/atom): -9.2324


Record 2
A plane-wave DFT calculation with PBE-GGA was carried out for a geometry-optimized Gd2TmSc structure.

Cell: 3.485 3.485 11.402 Å, 81.21 81.21 60.00°
Each line ends with the local moment (μB).
Sites, in units of the cell vectors:
1 Gd 0.747 0.747 0.758  7.11
2 Gd 0.253 0.253 0.242  7.11
3 Sc 0.000 0.000 0.000  -0.12
4 Tm 0.500 0.500 0.500  -0.04

Properties
V (Å³/cell): 118
Magnetic moment (μB per formula unit): 14.3
Energy of formation (eV/atom): 0.052
Final energy (eV/atom): -9.6890


Record 3
A plane-wave DFT calculation with PBE-GGA was carried out for a geometry-optimized BaCa2Ir structure.

Cell: 8.367 8.367 8.372 Å, 60.02 60.02 90.00°
Sites, in units of the cell vectors:
1 Ca 0.877 0.125 0.250
2 Ca 0.873 0.625 0.250
3 Ca 0.375 0.123 0.750
4 Ca 0.875 0.127 0.750
5 Ir 0.000 0.000 0.000
6 Ir 0.750 0.250 0.500
7 Ba 0.500 0.500 0.000
8 Ba 0.250 0.750 0.500

Properties
V (Å³/cell): 415
Magnetic moment (μB per formula unit): 0.0
Energy of formation (eV/atom): 0.328
Final energy (eV/atom): -3.3687


Record 4
A plane-wave DFT calculation with PBE-GGA was carried out for a geometry-optimized SmYLu structure.

Cell: 3.551 3.551 7.966 Å, 102.88 102.88 90.00°
Sites, in units of the cell vectors:
1 Y 0.002 0.002 0.004
2 Lu 0.666 0.666 0.333
3 Sm 0.332 0.332 0.663

Properties
V (Å³/cell): 95
Magnetic moment (μB per formula unit): 0.0
Energy of formation (eV/atom): 0.028
Final energy (eV/atom): -5.2064


Record 5
A plane-wave DFT calculation with PBE-GGA was carried out for a geometry-optimized Zr2FeRe structure.

Cell: 5.547 5.547 4.580 Å, 65.62 65.62 33.70°
Each line ends with the local moment (μB).
Sites, in units of the cell vectors:
1 Fe 0.480 0.480 0.520  1.81
2 Re 0.770 0.770 0.730  0.05
3 Zr 0.012 0.012 0.988  -0.20
4 Zr 0.238 0.238 0.262  -0.08

Properties
V (Å³/cell): 71
Magnetic moment (μB per formula unit): 1.4
Energy of formation (eV/atom): -0.047
Final energy (eV/atom): -9.5487


Record 6
A plane-wave DFT calculation with PBE-GGA was carried out for a geometry-optimized Ca4AgAu structure.

Cell: 5.170 5.171 7.316 Å, 89.97 89.99 90.00°
Sites, in units of the cell vectors:
1 Ca 0.501 0.997 0.254
2 Ca 0.501 0.998 0.742
3 Ca 0.001 0.498 0.742
4 Ca 0.001 0.497 0.254
5 Ag 0.501 0.497 0.998
6 Au 0.001 0.997 0.498

Properties
V (Å³/cell): 196
Magnetic moment (μB per formula unit): 0.0
Energy of formation (eV/atom): -0.355
Final energy (eV/atom): -2.7107


Question: Number 2 is which compound?
Answer: Gd2TmSc